Entry a
Below is a relaxed structure of KY2Br, with properties calculated at the PBE level.

It has space group C2/m (No. 12), with a = 6.770 Å, b = 13.753 Å, c = 3.719 Å, α = 90.00°, β = 123.13° and γ = 90.00°. The distinct sites, in fractional coordinates, are K at (0.000, 0.000, 0.000), Y at (0.250, 0.250, 0.000) and Br at (0.000, 0.500, 0.000).

Its crystal system is monoclinic.

---

Entry b
Below is a relaxed structure of KY2Br, with properties calculated at the PBE level.

It has space group Pmmm (No. 47), with a = 3.506 Å, b = 6.475 Å, c = 6.531 Å, α = 90.00°, β = 90.00° and γ = 90.00°. The distinct sites, in fractional coordinates, are K at (0.000, 0.000, 0.000), Y at (0.500, 0.248, 0.500) and Br at (0.000, 0.500, 0.000).

Its crystal system is orthorhombic.

---

Energy relative to the most stable one, in meV per atom: entry a 0; entry b 206

---

Entry a
Below is a relaxed structure of KY2Br, with properties calculated at the PBE level.

It has space group I4/mmm (No. 139), with a = 4.620 Å, b = 4.620 Å, c = 14.264 Å, α = 90.00°, β = 90.00° and γ = 90.00°. The distinct sites, in fractional coordinates, are K at (0.000, 0.000, 0.000), Y at (0.000, 0.500, 0.250) and Br at (0.000, 0.000, 0.500).

Its crystal system is tetragonal.

---

Entry b
Below is a relaxed structure of KY2Br, with properties calculated at the PBE level.

It has space group P4/mmm (No. 123), with a = 5.941 Å, b = 5.941 Å, c = 3.797 Å, α = 90.00°, β = 90.00° and γ = 90.00°. The distinct sites, in fractional coordinates, are K at (0.000, 0.000, 0.000), Y at (0.000, 0.500, 0.500) and Br at (0.500, 0.500, 0.000).

Its crystal system is tetragonal.

---

Energy relative to the most stable one, in meV per atom: entry a 0; entry b 306

---

Entry a
Below is a relaxed structure of KY2Br, with properties calculated at the PBE level.

It has space group R-3m (No. 166, hexagonal axes), with a = 3.6793 Å, b = 3.6793 Å, c = 35.3817 Å, α = 90.00°, β = 90.00° and γ = 120.00°. The distinct sites, in fractional coordinates, are K at (0.0000, 0.0000, 0.0000), Y at (0.0000, 0.0000, 0.2322) and Br at (0.0000, 0.0000, 0.5000).

Its crystal system is trigonal.

---

Entry b
Below is a relaxed structure of KY2Br, with properties calculated at the PBE level.

It has space group P2/m (No. 10), with a = 3.711 Å, b = 6.605 Å, c = 5.719 Å, α = 90.00°, β = 90.05° and γ = 90.00°. The distinct sites, in fractional coordinates, are K at (0.000, 0.000, 0.000), Y at (0.274, 0.500, 0.248) and Br at (0.500, 0.000, 0.500).

Its crystal system is monoclinic.

---

Entry c
Below is a relaxed structure of KY2Br, with properties calculated at the PBE level.

It has space group Cmmm (No. 65), with a = 6.502 Å, b = 12.628 Å, c = 3.563 Å, α = 90.00°, β = 90.00° and γ = 90.00°. The distinct sites, in fractional coordinates, are K at (0.000, 0.000, 0.000), Y at (0.250, 0.250, 0.500) and Br at (0.000, 0.500, 0.000).

Its crystal system is orthorhombic.

---

Entry d
Below is a relaxed structure of KY2Br, with properties calculated at the PBE level.

It has space group P4/mmm (No. 123), with a = 4.610 Å, b = 4.610 Å, c = 7.211 Å, α = 90.00°, β = 90.00° and γ = 90.00°. The distinct sites, in fractional coordinates, are K at (0.000, 0.000, 0.000), Y at (0.000, 0.500, 0.500) and Br at (0.500, 0.500, 0.000).

Its crystal system is tetragonal.

---

Energy relative to the most stable one, in meV per atom: entry a 0; entry b 108; entry c 335; entry d 189

---

Entry a
Below is a relaxed structure of KY2Br, with properties calculated at the PBE level.

It has space group Imm2 (No. 44), with a = 3.643 Å, b = 7.021 Å, c = 11.880 Å, α = 90.00°, β = 90.00° and γ = 90.00°. The distinct sites, in fractional coordinates, are K at (0.000, 0.000, 0.000), Y at (0.000, 0.000, 0.574), Y at (0.000, 0.500, 0.826) and Br at (0.000, 0.500, 0.268).

Its crystal system is orthorhombic.

---

Entry b
Below is a relaxed structure of KY2Br, with properties calculated at the PBE level.

It has space group I4_1/amd (No. 141, origin choice 2), with a = 6.171 Å, b = 6.171 Å, c = 19.962 Å, α = 90.00°, β = 90.00° and γ = 90.00°. The distinct sites, in fractional coordinates, are K at (0.000, 0.250, 0.375), Y at (0.000, 0.000, 0.000) and Br at (0.000, 0.250, 0.875).

Its crystal system is tetragonal.

---

Energy relative to the most stable one, in meV per atom: entry a 0; entry b 321

---

Entry a
Below is a relaxed structure of KY2Br, with properties calculated at the PBE level.

It has space group F-43m (No. 216), with a = 8.408 Å, b = 8.408 Å, c = 8.408 Å, α = 90.00°, β = 90.00° and γ = 90.00°. The distinct sites, in fractional coordinates, are K at (0.000, 0.000, 0.000), Y at (0.000, 0.000, 0.500), Y at (0.250, 0.250, 0.750) and Br at (0.250, 0.250, 0.250).

Its crystal system is cubic.

---

Entry b
Below is a relaxed structure of KY2Br, with properties calculated at the PBE level.

It has space group Cmm2 (No. 35), with a = 4.207 Å, b = 5.986 Å, c = 10.888 Å, α = 90.00°, β = 90.00° and γ = 90.00°. The distinct sites, in fractional coordinates, are K at (0.000, 0.000, 0.000), Y at (0.000, 0.000, 0.564), Y at (0.000, 0.500, 0.327) and Br at (0.000, 0.500, 0.766).

Its crystal system is orthorhombic.

---

Entry c
Below is a relaxed structure of KY2Br, with properties calculated at the PBE level.

It has space group Immm (No. 71), with a = 3.530 Å, b = 5.583 Å, c = 13.786 Å, α = 90.00°, β = 90.00° and γ = 90.00°. The distinct sites, in fractional coordinates, are K at (0.000, 0.000, 0.000), Y at (0.000, 0.500, 0.201) and Br at (0.000, 0.000, 0.500).

Its crystal system is orthorhombic.

---

Energy relative to the most stable one, in meV per atom: entry a 802; entry b 0; entry c 165

---

Entry a
Below is a relaxed structure of KY2Br, with properties calculated at the PBE level.

It has space group Pm (No. 6), with a = 3.750 Å, b = 3.685 Å, c = 10.574 Å, α = 90.00°, β = 100.18° and γ = 90.00°. The distinct sites, in fractional coordinates, are K at (0.000, 0.000, 0.000), Y at (0.327, 0.500, 0.660), Y at (0.715, 0.000, 0.434) and Br at (0.602, 0.500, 0.204).

Its crystal system is monoclinic.

---

Entry b
Below is a relaxed structure of KY2Br, with properties calculated at the PBE level.

It has space group I-4m2 (No. 119), with a = 4.925 Å, b = 4.925 Å, c = 11.299 Å, α = 90.00°, β = 90.00° and γ = 90.00°. The distinct sites, in fractional coordinates, are K at (0.000, 0.000, 0.000), Y at (0.000, 0.000, 0.500), Y at (0.000, 0.500, 0.750) and Br at (0.000, 0.500, 0.250).

Its crystal system is tetragonal.

---

Entry c
Below is a relaxed structure of KY2Br, with properties calculated at the PBE level.

It has space group P4/mmm (No. 123), with a = 3.513 Å, b = 3.513 Å, c = 10.926 Å, α = 90.00°, β = 90.00° and γ = 90.00°. The distinct sites, in fractional coordinates, are K at (0.000, 0.000, 0.000), Y at (0.500, 0.500, 0.315) and Br at (0.000, 0.000, 0.500).

Its crystal system is tetragonal.

---

Energy relative to the most stable one, in meV per atom: entry a 0; entry b 727; entry c 441

---

Entry a
Below is a relaxed structure of KYBr, with properties calculated at the PBE level.

It has space group I4mm (No. 107), with a = 3.635 Å, b = 3.635 Å, c = 15.377 Å, α = 90.00°, β = 90.00° and γ = 90.00°. The distinct sites, in fractional coordinates, are K at (0.000, 0.000, 0.000), Y at (0.000, 0.000, 0.714) and Br at (0.000, 0.000, 0.333).

Its crystal system is tetragonal.

---

Entry b
Below is a relaxed structure of KYBr, with properties calculated at the PBE level.

It has space group P3m1 (No. 156), with a = 4.8886 Å, b = 4.8886 Å, c = 6.3128 Å, α = 90.00°, β = 90.00° and γ = 120.00°. The distinct sites, in fractional coordinates, are K at (0.0000, 0.0000, 0.0000), Y at (0.6667, 0.3333, 0.5002) and Br at (0.3333, 0.6667, 0.4921).

Its crystal system is trigonal.

---

Energy relative to the most stable one, in meV per atom: entry a 0; entry b 248

---

Entry a
Below is a relaxed structure of KYBr, with properties calculated at the PBE level.

It has space group Fmm2 (No. 42), with a = 3.888 Å, b = 6.581 Å, c = 16.798 Å, α = 90.00°, β = 90.00° and γ = 90.00°. The distinct sites, in fractional coordinates, are K at (0.000, 0.000, 0.000), Y at (0.000, 0.000, 0.293) and Br at (0.000, 0.000, 0.659).

Its crystal system is orthorhombic.

---

Entry b
Below is a relaxed structure of KYBr, with properties calculated at the PBE level.

It has space group F-43m (No. 216), with a = 7.479 Å, b = 7.479 Å, c = 7.479 Å, α = 90.00°, β = 90.00° and γ = 90.00°. The distinct sites, in fractional coordinates, are K at (0.000, 0.000, 0.000), Y at (0.000, 0.000, 0.500) and Br at (0.250, 0.250, 0.750).

Its crystal system is cubic.

---

Energy relative to the most stable one, in meV per atom: entry a 0; entry b 550

---

Entry a
Below is a relaxed structure of KYBr2, with properties calculated at the PBE level.

It has space group Immm (No. 71), with a = 3.913 Å, b = 7.812 Å, c = 10.198 Å, α = 90.00°, β = 90.00° and γ = 90.00°. The distinct sites, in fractional coordinates, are K at (0.000, 0.000, 0.000), Y at (0.000, 0.000, 0.500) and Br at (0.000, 0.500, 0.203).

Its crystal system is orthorhombic.

---

Entry b
Below is a relaxed structure of KYBr2, with properties calculated at the PBE level.

It has space group I-4m2 (No. 119), with a = 4.310 Å, b = 4.310 Å, c = 15.391 Å, α = 90.00°, β = 90.00° and γ = 90.00°. The distinct sites, in fractional coordinates, are K at (0.000, 0.000, 0.000), Y at (0.000, 0.500, 0.750), Br at (0.000, 0.000, 0.500) and Br at (0.000, 0.500, 0.250).

Its crystal system is tetragonal.

---

Entry c
Below is a relaxed structure of KYBr2, with properties calculated at the PBE level.

It has space group R-3m (No. 166, hexagonal axes), with a = 3.8492 Å, b = 3.8492 Å, c = 27.0620 Å, α = 90.00°, β = 90.00° and γ = 120.00°. The distinct sites, in fractional coordinates, are K at (0.0000, 0.0000, 0.0000), Y at (0.0000, 0.0000, 0.5000) and Br at (0.0000, 0.0000, 0.2463).

Its crystal system is trigonal.

---

Entry d
Below is a relaxed structure of KYBr2, with properties calculated at the PBE level.

It has space group Cm (No. 8), with a = 16.640 Å, b = 4.006 Å, c = 3.909 Å, α = 90.00°, β = 95.77° and γ = 90.00°. The distinct sites, in fractional coordinates, are K at (0.000, 0.000, 0.000), Y at (0.241, 0.000, 0.601), Br at (0.111, 0.500, 0.546) and Br at (0.307, 0.500, 0.129).

Its crystal system is monoclinic.

---

Energy relative to the most stable one, in meV per atom: entry a 145; entry b 313; entry c 0; entry d 99

---

Entry a
Below is a relaxed structure of KZnBr, with properties calculated at the PBE level.

It has space group I4mm (No. 107), with a = 4.556 Å, b = 4.556 Å, c = 14.402 Å, α = 90.00°, β = 90.00° and γ = 90.00°. The distinct sites, in fractional coordinates, are K at (0.000, 0.000, 0.000), Zn at (0.000, 0.000, 0.750) and Br at (0.000, 0.000, 0.534).

Its crystal system is tetragonal.

---

Entry b
Below is a relaxed structure of KZnBr, with properties calculated at the PBE level.

It has space group F-43m (No. 216), with a = 7.789 Å, b = 7.789 Å, c = 7.789 Å, α = 90.00°, β = 90.00° and γ = 90.00°. The distinct sites, in fractional coordinates, are K at (0.000, 0.000, 0.000), Zn at (0.250, 0.250, 0.250) and Br at (0.000, 0.000, 0.500).

Its crystal system is cubic.

---

Energy relative to the most stable one, in meV per atom: entry a 0; entry b 137

---

Entry a
Below is a relaxed structure of K2ZnBr, with properties calculated at the PBE level.

It has space group P4/mmm (No. 123), with a = 5.791 Å, b = 5.791 Å, c = 4.231 Å, α = 90.00°, β = 90.00° and γ = 90.00°. The distinct sites, in fractional coordinates, are K at (0.000, 0.500, 0.000), Zn at (0.000, 0.000, 0.500) and Br at (0.500, 0.500, 0.500).

Its crystal system is tetragonal.

---

Entry b
Below is a relaxed structure of K2ZnBr, with properties calculated at the PBE level.

It has space group C2/m (No. 12), with a = 7.974 Å, b = 4.560 Å, c = 9.303 Å, α = 90.00°, β = 106.17° and γ = 90.00°. The distinct sites, in fractional coordinates, are K at (0.241, 0.000, 0.225), Zn at (0.000, 0.000, 0.500) and Br at (0.000, 0.500, 0.000).

Its crystal system is monoclinic.

---

Entry c
Below is a relaxed structure of K2ZnBr, with properties calculated at the PBE level.

It has space group F-43m (No. 216), with a = 8.434 Å, b = 8.434 Å, c = 8.434 Å, α = 90.00°, β = 90.00° and γ = 90.00°. The distinct sites, in fractional coordinates, are K at (0.000, 0.000, 0.000), K at (0.250, 0.250, 0.250), Zn at (0.250, 0.250, 0.750) and Br at (0.000, 0.000, 0.500).

Its crystal system is cubic.

---

Entry d
Below is a relaxed structure of K2ZnBr, with properties calculated at the PBE level.

It has space group P4mm (No. 99), with a = 4.835 Å, b = 4.835 Å, c = 7.053 Å, α = 90.00°, β = 90.00° and γ = 90.00°. The distinct sites, in fractional coordinates, are K at (0.000, 0.000, 0.000), K at (0.500, 0.500, 0.497), Zn at (0.000, 0.000, 0.502) and Br at (0.500, 0.500, 0.998).

Its crystal system is tetragonal.

---

Energy relative to the most stable one, in meV per atom: entry a 35; entry b 0; entry c 302; entry d 48